(1)
The following is a DFT calculation (GGA-PBE) of a geometry-optimized Gd2AlFeC structure.

As for the total energy: -0.4700 Ry/atom. As for the volume: 18.811 A^3/atom.

The space group is P4/mmm (No. 123) and the conventional cell measures 5.051, 5.051 and 3.687 Å, with angles of 90.00, 90.00 and 90.00 degrees. Symmetry generates all atoms from Gd at (0.000, 0.500, 0.000), Al at (0.000, 0.000, 0.500), Fe at (0.500, 0.500, 0.500) and C at (0.500, 0.500, 0.000).

---

(2)
The following is a DFT calculation (GGA-PBE) of a geometry-optimized Nd2TmCd4In2 structure.

As for the total energy: -0.2182 Ry/atom. As for the volume: 25.758 A^3/atom.

The space group is Amm2 (No. 38) and the conventional cell measures 4.677, 12.973 and 7.641 Å, with angles of 90.00, 90.00 and 90.00 degrees. Symmetry generates all atoms from Nd at (0.000, 0.211, 0.000), Tm at (0.000, 0.000, 0.362), Cd at (0.000, 0.000, 0.775), Cd at (0.500, 0.000, 0.024), Cd at (0.500, 0.122, 0.664) and In at (0.500, 0.163, 0.288).

---

(3)
The following is a DFT calculation (GGA-PBE) of a geometry-optimized NdSbAs structure.

As for the total energy: -0.3561 Ry/atom. As for the volume: 31.491 A^3/atom.

The space group is F-43m (No. 216) and the conventional cell measures 7.230, 7.230 and 7.230 Å, with angles of 90.00, 90.00 and 90.00 degrees. Symmetry generates all atoms from Nd at (0.000, 0.000, 0.000), Sb at (0.250, 0.250, 0.250) and As at (0.250, 0.250, 0.750).

---

(4)
The following is a DFT calculation (GGA-PBE) of a geometry-optimized ZnCoGe2 structure.

As for the total energy: -0.2976 Ry/atom. As for the volume: 15.017 A^3/atom.

The space group is F-43m (No. 216) and the conventional cell measures 6.217, 6.217 and 6.217 Å, with angles of 90.00, 90.00 and 90.00 degrees. Symmetry generates all atoms from Zn at (0.000, 0.000, 0.000), Co at (0.250, 0.250, 0.250), Ge at (0.000, 0.000, 0.500) and Ge at (0.250, 0.250, 0.750).

---

(5)
The following is a DFT calculation (GGA-PBE) of a geometry-optimized Tb4Ho2Cu structure.

As for the total energy: -0.2947 Ry/atom. As for the volume: 29.661 A^3/atom. For the formation energy, the calculation gives 45.8 kJ/mol of atoms.

The space group is I4/mmm (No. 139) and the conventional cell measures 7.938, 7.938 and 6.590 Å, with angles of 90.00, 90.00 and 90.00 degrees. Symmetry generates all atoms from Tb at (0.219, 0.219, 0.000), Ho at (0.000, 0.500, 0.250) and Cu at (0.000, 0.000, 0.500).

---

(6)
The following is a DFT calculation (GGA-PBE) of a geometry-optimized ScTaNO structure.

As for the total energy: -0.7006 Ry/atom. As for the volume: 12.362 A^3/atom.

The space group is Pbcm (No. 57) and the conventional cell measures 7.836, 5.706 and 4.424 Å, with angles of 90.00, 90.00 and 90.00 degrees. Symmetry generates all atoms from Sc at (0.129, 0.064, 0.250), Ta at (0.393, 0.502, 0.250), N at (0.127, 0.059, 0.750) and O at (0.353, 0.632, 0.750).

---

In order of appearance, density = 7.2, 8.1, 6.0, 7.5, 8.2, 8.6 g/cm³.